Material: ZrTeP
Method: DFT, PBE
State: relaxed

Properties
For the theoretical density, the calculation gives 5.79 g cm⁻³. As for the size of the total moment: 0.00 μB/f.u. Its crystal system is tetragonal. The total energy comes out at -6.632 eV per atom. For the formation energy without anion corrections, the calculation gives -0.93 eV/atom. The calculated volume comes out at 143.24 Å³/cell. The value obtained for the density of states at the Fermi level is 1.9 states/eV/cell.

a b c (Å): 3.7176 3.7176 10.3643
angles (deg): 90.00 90.00 90.00
Last column: nearest neighbours and their distance in Å.
Space group P4/nmm (No. 129, origin choice 2)
Asymmetric unit:
Zr: 0.2500 0.2500 0.1879 (multiplicity 2)  4 P 2.69, 4 Te 3.01
Te: 0.2500 0.2500 0.6710 (multiplicity 2)  4 Zr 3.01
P: 0.2500 0.7500 0.0000 (multiplicity 2)  4 P 2.63, 4 Zr 2.69

***

Material: ZrZn2ClF
Method: DFT, PBE
State: relaxed

Properties
For the theoretical density, the calculation gives 3.08 g cm⁻³. As for the size of the total moment: 0.00 μB/f.u. Its crystal system is tetragonal. The total energy comes out at -3.110 eV per atom. For the formation energy without anion corrections, the calculation gives -0.15 eV/atom. The calculated volume comes out at 149.02 Å³/cell. The value obtained for the density of states at the Fermi level is 4.2 states/eV/cell.

a b c (Å): 5.5323 5.5323 4.8689
angles (deg): 90.00 90.00 90.00
Last column: nearest neighbours and their distance in Å.
Space group P4/mmm (No. 123)
Asymmetric unit:
Zr: 0.0000 0.0000 0.0000 (multiplicity 1)  2 Cl 2.43
Zn: 0.0000 0.5000 0.0000 (multiplicity 2)  2 Zr 2.77
Cl: 0.0000 0.0000 0.5000 (multiplicity 1)  2 Zr 2.43
F: 0.5000 0.5000 0.5000 (multiplicity 1)  8 Zn 3.68, 4 Cl 3.91

***

Material: Pr4Sm3Tl
Method: DFT, PBE
State: relaxed

Properties
For the theoretical density, the calculation gives 7.56 g cm⁻³. As for the size of the total moment: 0.00 μB/f.u. Its crystal system is tetragonal. The total energy comes out at -4.465 eV per atom. The calculated volume comes out at 267.91 Å³/cell. For the calculated formation energy, the calculation gives -0.010 eV per atom. The value obtained for the density of states at the Fermi level is 13.5 states/eV/cell.

a b c (Å): 4.2778 4.2778 14.6401
angles (deg): 90.00 90.00 90.00
Last column: nearest neighbours and their distance in Å.
Space group P4/mmm (No. 123)
Asymmetric unit:
Pr: 0.0000 0.0000 0.1130 (multiplicity 2)  1 Pr 3.31, 4 Tl 3.45, 4 Sm 3.60
Pr: 0.0000 0.0000 0.3730 (multiplicity 2)  8 Sm 3.55, 2 Pr 3.72-3.81
Sm: 0.5000 0.5000 0.2457 (multiplicity 2)  8 Pr 3.55-3.60, 1 Tl 3.60, 1 Sm 3.72
Sm: 0.5000 0.5000 0.5000 (multiplicity 1)  8 Pr 3.55, 2 Sm 3.72
Tl: 0.5000 0.5000 0.0000 (multiplicity 1)  8 Pr 3.45, 2 Sm 3.60

***

Material: CaMg14W
Method: DFT, PBE
State: relaxed

Properties
For the theoretical density, the calculation gives 2.58 g cm⁻³. As for the size of the total moment: 0.70 μB/f.u. Its crystal system is hexagonal. The total energy comes out at -2.169 eV per atom. The calculated volume comes out at 363.80 Å³/cell. For the calculated formation energy, the calculation gives 0.161 eV per atom. The value obtained for the density of states at the Fermi level is 10.3 states/eV/cell.

a b c (Å): 6.3993 6.3993 10.2580
angles (deg): 90.00 90.00 120.00
Last column: nearest neighbours and their distance in Å.
Space group P-6m2 (No. 187)
Asymmetric unit:
Ca: 0.0000 0.0000 0.0000 (multiplicity 1)  12 Mg 3.20-3.30
Mg: 0.0118 0.5059 0.0000 (multiplicity 3)  10 Mg 3.09-3.33, 2 Ca 3.20
Mg: 0.1621 0.3242 0.2699 (multiplicity 6)  1 W 2.97, 8 Mg 3.03-3.29, 1 Ca 3.30
Mg: 0.5035 0.0071 0.5000 (multiplicity 3)  10 Mg 3.03-3.27, 2 W 3.20
Mg: 0.6667 0.3333 0.2374 (multiplicity 2)  12 Mg 3.10-3.24
W: 0.0000 0.0000 0.5000 (multiplicity 1)  12 Mg 2.97-3.20

***

Material: AlCdPd2
Method: DFT, PBE
State: relaxed

Properties
For the theoretical density, the calculation gives 9.13 g cm⁻³. As for the size of the total moment: 0.00 μB/f.u. Its crystal system is tetragonal. The total energy comes out at -4.459 eV per atom. The calculated volume comes out at 64.06 Å³/cell. For the calculated formation energy, the calculation gives -0.698 eV per atom. The value obtained for the density of states at the Fermi level is 2.0 states/eV/cell.

a b c (Å): 3.0168 3.0168 7.0390
angles (deg): 90.00 90.00 90.00
Last column: nearest neighbours and their distance in Å.
Space group P4/mmm (No. 123)
Asymmetric unit:
Al: 0.0000 0.0000 0.0000 (multiplicity 1)  8 Pd 2.61
Cd: 0.0000 0.0000 0.5000 (multiplicity 1)  8 Pd 2.94, 4 Cd 3.02
Pd: 0.5000 0.5000 0.2129 (multiplicity 2)  4 Al 2.61